1.
The following is a PBE-GGA calculation of a relaxed BaPmCdSn crystal, from Alexandria via LeMat-Bulk.

Calculated values
Total moment, μB/atom: 0.000
Calculated formation energy, eV/atom: -0.407
Calculated density, g/cm3: 6.5
Final energy, eV per atom: -3.31

```
4
Lattice="0.000 4.030 4.030 4.030 0.000 4.030 4.030 4.030 0.000" Properties=species:S:1:pos:R:3 pbc="T T T"
Ba 0.000 0.000 0.000
Pm 4.030 4.030 4.030
Cd 6.045 6.045 6.045
Sn 2.015 2.015 2.015
```

2.
The following is a PBE-GGA calculation of a relaxed BaPdCl crystal, from Alexandria via LeMat-Bulk.

Calculated values
Total moment, μB/atom: 0.000
Calculated density, g/cm3: 4.8
Final energy, eV per atom: -3.91
Formation energy without anion corrections, eV/atom: -0.926

```
6
Lattice="10.197 0.000 0.000 0.000 2.229 4.217 0.000 -2.229 4.217" Properties=species:S:1:pos:R:3 pbc="T T T"
Ba 2.027 0.000 0.000
Ba 8.170 0.000 0.000
Pd 0.000 0.000 5.630
Pd 5.099 0.000 6.827
Cl 3.509 0.000 2.674
Cl 6.688 0.000 2.674
```